Crystalline TaZnBr2 at its relaxed geometry. Source: the Alexandria database, functional PBE.

Calculated values
Magnetization = 2.971 μB per cell
Space group = No. 216
Offset from the most stable computed form = 1110.2 meV per atom
Total DFT energy (no corrections) = -3.19 eV/atom
ΔE_f (raw) = 0.933 eV per atom
Fermi-level density of states = 1.137 states/eV/atom

Lattice parameters (Å, degrees): 4.997 4.997 4.997 60.00 60.00 60.00
Each line ends with the local moment (μB).
Sites, in units of the cell vectors:
Br1 0.000 0.000 0.000  -0.02
Br2 0.250 0.250 0.250  0.02
Ta1 0.500 0.500 0.500  1.83
Zn1 0.750 0.750 0.750  0.07

Crystalline ErTm4Pt2 at its relaxed geometry. Source: the Alexandria database, functional PBE.

Calculated values
Magnetization = 0.001 μB per cell
Space group = No. 11
ΔE_f = -738 meV/atom
Offset from the most stable computed form = 0.0 meV per atom
Total DFT energy (no corrections) = -5.67 eV/atom
Fermi-level density of states = 1.103 states/eV/atom

Lattice parameters (Å, degrees): 6.257 7.705 7.971 112.44 90.00 90.00
Sites, in units of the cell vectors:
Tm1 0.504 0.410 0.769
Tm2 0.250 0.248 0.345
Tm3 0.750 0.752 0.655
Tm4 0.996 0.410 0.769
Tm5 0.750 0.017 0.388
Tm6 0.004 0.590 0.231
Tm7 0.496 0.590 0.231
Tm8 0.250 0.983 0.612
Pt1 0.250 0.247 0.990
Pt2 0.750 0.753 0.010
Pt3 0.750 0.378 0.415
Pt4 0.250 0.622 0.585
Er1 0.250 0.847 0.974
Er2 0.750 0.153 0.026

Crystalline Tm2TlSn at its relaxed geometry. Source: the Alexandria database, functional PBE.

Calculated values
Magnetization = 0.000 μB per cell
Space group = No. 11
ΔE_f = -477 meV/atom
Total DFT energy (no corrections) = -4.31 eV/atom
Fermi-level density of states = 0.674 states/eV/atom

Lattice parameters (Å, degrees): 4.279 6.106 9.019 112.19 90.00 90.00
Sites, in units of the cell vectors:
Tm1 0.750 0.239 0.426
Tm2 0.250 0.761 0.574
Tm3 0.250 0.771 0.067
Tm4 0.750 0.229 0.933
Tl1 0.750 0.700 0.305
Tl2 0.250 0.300 0.695
Sn1 0.250 0.321 0.200
Sn2 0.750 0.679 0.800

Crystalline K2ReP at its relaxed geometry. Source: the Alexandria database, functional PBE.

Calculated values
Magnetization = 0.307 μB per cell
Space group = No. 166
ΔE_f = 1065 meV/atom
Offset from the most stable computed form = 888.0 meV per atom
Total DFT energy (no corrections) = -3.95 eV/atom
Fermi-level density of states = 1.146 states/eV/atom

Lattice parameters (Å, degrees): 11.474 11.474 11.474 14.68 14.68 14.68
Each line ends with the local moment (μB).
Sites, in units of the cell vectors:
K1 0.995 0.995 0.995  0.00
K2 0.505 0.505 0.505  0.00
P1 0.250 0.250 0.250  0.12
Re1 0.750 0.750 0.750  0.00

Crystalline BeCdCo3 at its relaxed geometry. Source: the Alexandria database, functional PBE.

Calculated values
Magnetization = 4.842 μB per cell
Space group = No. 221
ΔE_f = 2030 meV/atom
Offset from the most stable computed form = 1582.3 meV per atom
Total DFT energy (no corrections) = -3.16 eV/atom
Fermi-level density of states = 1.936 states/eV/atom

Lattice parameters (Å, degrees): 4.643 4.643 4.643 90.00 90.00 90.00
Each line ends with the local moment (μB).
Sites, in units of the cell vectors:
Be1 0.500 0.500 0.500  -0.07
Co1 0.000 0.500 0.000  1.88
Co2 0.000 0.000 0.500  1.86
Co3 0.500 0.000 0.000  1.56
Cd1 0.000 0.000 0.000  -0.07

Crystalline SrCa2Cl at its relaxed geometry. Source: the Alexandria database, functional PBE.

Calculated values
Magnetization = 0.000 μB per cell
Space group = No. 44
Offset from the most stable computed form = 101.1 meV per atom
Total DFT energy (no corrections) = -2.57 eV/atom
ΔE_f (raw) = -0.690 eV per atom
Fermi-level density of states = 0.857 states/eV/atom

Lattice parameters (Å, degrees): 7.079 7.079 7.079 148.33 119.73 69.70
Sites, in units of the cell vectors:
Sr1 0.304 0.804 0.500
Ca1 0.993 0.993 0.000
Ca2 0.694 0.194 0.500
Cl1 0.509 0.509 0.000

Crystalline CrFeSnPd2 at its relaxed geometry. Source: the Alexandria database, functional PBE.

Calculated values
Magnetization = 7.576 μB per cell
Space group = No. 123
ΔE_f = 1209 meV/atom
Total DFT energy (no corrections) = -5.29 eV/atom
Fermi-level density of states = 1.049 states/eV/atom

Lattice parameters (Å, degrees): 4.914 4.992 4.914 90.00 90.00 90.00
Each line ends with the local moment (μB).
Sites, in units of the cell vectors:
Cr1 0.000 0.500 0.000  3.67
Sn1 0.000 0.000 0.000  -0.05
Pd1 0.000 0.000 0.500  0.05
Pd2 0.500 0.000 0.000  0.02
Fe1 0.500 0.500 0.500  3.33

Crystalline Sc2PaCu9 at its relaxed geometry. Source: the Alexandria database, functional PBE.

Calculated values
Magnetization = 0.000 μB per cell
Space group = No. 166
ΔE_f = -133 meV/atom
Total DFT energy (no corrections) = -5.05 eV/atom
Fermi-level density of states = 0.647 states/eV/atom

Lattice parameters (Å, degrees): 5.083 5.083 8.566 72.74 72.74 60.00
Sites, in units of the cell vectors:
Sc1 0.854 0.854 0.438
Sc2 0.146 0.146 0.562
Pa1 0.000 0.000 0.000
Cu1 0.667 0.667 0.998
Cu2 0.333 0.333 0.002
Cu3 0.500 0.500 0.500
Cu4 0.415 0.415 0.253
Cu5 0.917 0.415 0.253
Cu6 0.415 0.917 0.253
Cu7 0.585 0.585 0.747
Cu8 0.585 0.083 0.747
Cu9 0.083 0.585 0.747

Crystalline La2Ga3Ni at its relaxed geometry. Source: the Alexandria database, functional PBE.

Calculated values
Magnetization = 0.000 μB per cell
Space group = No. 8
ΔE_f = -601 meV/atom
Total DFT energy (no corrections) = -4.72 eV/atom
Fermi-level density of states = 0.872 states/eV/atom

Lattice parameters (Å, degrees): 4.581 5.743 5.874 81.92 67.05 66.50
Sites, in units of the cell vectors:
La1 0.544 0.201 0.711
La2 0.447 0.801 0.305
Ga1 0.857 0.593 0.693
Ga2 0.823 0.241 0.114
Ga3 0.162 0.763 0.913
Ni1 0.167 0.401 0.265

Crystalline RbTiAsSe2 at its relaxed geometry. Source: the Alexandria database, functional PBE.

Calculated values
Magnetization = 1.128 μB per cell
Space group = No. 123
Offset from the most stable computed form = 2045.8 meV per atom
Total DFT energy (no corrections) = -2.71 eV/atom
ΔE_f (raw) = 1.387 eV per atom
Fermi-level density of states = 1.264 states/eV/atom

Lattice parameters (Å, degrees): 5.647 5.647 5.425 90.00 90.00 90.00
Each line ends with the local moment (μB).
Sites, in units of the cell vectors:
As1 0.000 0.000 0.500  -0.20
Se1 0.000 0.500 0.000  -0.21
Se2 0.500 0.000 0.000  -0.21
Rb1 0.000 0.000 0.000  -0.03
Ti1 0.500 0.500 0.500  1.85

Crystalline CsCe2I7 at its relaxed geometry. Source: the Alexandria database, functional PBE.

Calculated values
Magnetization = 2.000 μB per cell
Space group = No. 65
Total DFT energy (no corrections) = -3.72 eV/atom
ΔE_f (raw) = -1.367 eV per atom
Fermi-level density of states = 1.340 states/eV/atom

Lattice parameters (Å, degrees): 6.274 9.505 9.505 116.13 90.00 90.00
Each line ends with the local moment (μB).
Sites, in units of the cell vectors:
Cs1 0.000 0.000 0.000  0.00
Ce1 0.500 0.698 0.302  1.00
Ce2 0.500 0.302 0.698  1.00
I1 0.000 0.706 0.294  -0.01
I2 0.000 0.294 0.706  -0.01
I3 0.500 0.050 0.326  -0.01
I4 0.500 0.950 0.674  -0.01
I5 0.500 0.326 0.050  -0.01
I6 0.500 0.674 0.950  -0.01
I7 0.500 0.500 0.500  -0.01

Crystalline LaPrLuPu at its relaxed geometry. Source: the Alexandria database, functional PBE.

Calculated values
Magnetization = 7.638 μB per cell
Space group = No. 216
ΔE_f = 203 meV/atom
Total DFT energy (no corrections) = -6.94 eV/atom
Fermi-level density of states = 3.576 states/eV/atom

Lattice parameters (Å, degrees): 5.694 5.694 5.694 60.00 60.00 60.00
Each line ends with the local moment (μB).
Sites, in units of the cell vectors:
Pr1 0.750 0.750 0.750  0.25
Lu1 0.000 0.000 0.000  0.30
La1 0.250 0.250 0.250  0.29
Pu1 0.500 0.500 0.500  5.65